No. 1
AgSe2SCl | PBE-GGA | relaxed

Results
DOS at the Fermi energy = 2.6 states/eV per cell
total moment = 0.00 μB/atom

Cell: 4.9491 4.9491 4.6878 Å, 90.00 90.00 90.00°
Closest atoms and distances in Å follow each position.
Space group P4/mmm (No. 123)
Asymmetric unit:
Ag 0.0000 0.0000 0.0000 (multiplicity 1)  8 Se 3.41, 4 Cl 3.50
Se 0.0000 0.5000 0.5000 (multiplicity 2)  2 S 2.47
S 0.5000 0.5000 0.5000 (multiplicity 1)  2 Cl 2.34, 4 Se 2.47
Cl 0.5000 0.5000 0.0000 (multiplicity 1)  2 S 2.34



No. 2
Ag2SeS2Cl2 | PBE-GGA | relaxed

Results
DOS at the Fermi energy = 10.3 states/eV per cell
total moment = 0.00 μB/atom

Cell: 8.2497 4.5363 9.8265 Å, 90.00 104.31 90.00°
Closest atoms and distances in Å follow each position.
Space group C2/m (No. 12)
Asymmetric unit:
Ag 0.1216 0.0000 0.3415 (multiplicity 4)  1 S 2.57, 4 Cl 2.67-2.76
Se 0.0000 0.5000 0.0000 (multiplicity 2)  4 S 2.51
S 0.0583 0.0000 0.9130 (multiplicity 4)  1 S 2.16
Cl 0.2034 0.0000 0.6314 (multiplicity 4)  4 Ag 2.67-2.76



No. 3
AgSeS2Cl | PBE-GGA | relaxed

Results
DOS at the Fermi energy = 2.4 states/eV per cell
total moment = 0.00 μB/atom

Cell: 4.8340 4.8340 4.9938 Å, 90.00 90.00 90.00°
Closest atoms and distances in Å follow each position.
Space group P4/mmm (No. 123)
Asymmetric unit:
Ag 0.0000 0.0000 0.0000 (multiplicity 1)  4 Cl 3.42, 8 S 3.48
Se 0.5000 0.5000 0.5000 (multiplicity 1)  4 S 2.42, 2 Cl 2.50
S 0.0000 0.5000 0.5000 (multiplicity 2)  2 Se 2.42
Cl 0.5000 0.5000 0.0000 (multiplicity 1)  2 Se 2.50



No. 4
Ag7SeS2Cl2 | PBE-GGA | relaxed

Results
DOS at the Fermi energy = 11.2 states/eV per cell
total moment = 0.00 μB/atom

Cell: 3.9753 22.2840 6.2440 Å, 90.00 90.00 90.00°
Closest atoms and distances in Å follow each position.
Space group Imm2 (No. 44)
Asymmetric unit:
Ag 0.0000 0.0000 0.0000 (multiplicity 2)  2 S 2.48
Ag 0.0000 0.0918 0.6613 (multiplicity 4)  1 Cl 2.63, 1 S 2.72, 2 Se 2.86, 1 Ag 2.94
Ag 0.0000 0.2176 0.1251 (multiplicity 4)  1 S 2.45, 2 Cl 2.60
Ag 0.0000 0.4281 0.8008 (multiplicity 4)  2 S 2.51, 1 Se 2.64
Se 0.0000 0.5000 0.1369 (multiplicity 2)  6 Ag 2.64-2.86
S 0.0000 0.1080 0.0929 (multiplicity 4)  5 Ag 2.45-2.72
Cl 0.0000 0.2079 0.5872 (multiplicity 4)  4 Ag 2.60-2.89



No. 5
SiAgS2Cl | PBE-GGA | relaxed

Results
DOS at the Fermi energy = 2.0 states/eV per cell
total moment = 0.00 μB/atom

Cell: 4.3209 4.3209 6.0494 Å, 90.00 90.00 90.00°
Closest atoms and distances in Å follow each position.
Space group P4/mmm (No. 123)
Asymmetric unit:
Si 0.0000 0.0000 0.0000 (multiplicity 1)  4 S 2.16
Ag 0.0000 0.0000 0.5000 (multiplicity 1)  2 Si 3.02, 4 Cl 3.06
S 0.0000 0.5000 0.0000 (multiplicity 2)  2 Si 2.16
Cl 0.5000 0.5000 0.5000 (multiplicity 1)  4 Ag 3.06



No. 6
SiAgS2Cl | PBE-GGA | relaxed

Results
DOS at the Fermi energy = 2.3 states/eV per cell
total moment = 0.00 μB/atom

Cell: 4.8517 4.8517 4.8303 Å, 90.00 90.00 90.00°
Closest atoms and distances in Å follow each position.
Space group P4/mmm (No. 123)
Asymmetric unit:
Si 0.0000 0.0000 0.0000 (multiplicity 1)  8 S 3.42, 4 Cl 3.43
Ag 0.5000 0.5000 0.5000 (multiplicity 1)  2 Cl 2.42, 4 S 2.43
S 0.0000 0.5000 0.5000 (multiplicity 2)  2 Ag 2.43
Cl 0.5000 0.5000 0.0000 (multiplicity 1)  2 Ag 2.42



No. 7
SiAgS2Cl | PBE-GGA | relaxed

Results
DOS at the Fermi energy = 1.4 states/eV per cell
total moment = 0.00 μB/atom

Cell: 4.5125 4.5125 4.9192 Å, 90.00 90.00 90.00°
Closest atoms and distances in Å follow each position.
Space group P4/mmm (No. 123)
Asymmetric unit:
Si 0.0000 0.0000 0.0000 (multiplicity 1)  4 S 2.26, 2 Cl 2.46
Ag 0.5000 0.5000 0.5000 (multiplicity 1)  4 Cl 3.19, 8 S 3.34
S 0.0000 0.5000 0.0000 (multiplicity 2)  2 Si 2.26
Cl 0.0000 0.0000 0.5000 (multiplicity 1)  2 Si 2.46



No. 8
Ag5SnS4Cl2 | PBE-GGA | relaxed

Results
DOS at the Fermi energy = 23.0 states/eV per cell
total moment = 0.00 μB/atom

Cell: 7.7178 11.6254 6.2805 Å, 90.00 90.00 90.00°
Closest atoms and distances in Å follow each position.
Space group Amm2 (No. 38)
Asymmetric unit:
Ag 0.0000 0.0000 0.0000 (multiplicity 2)  2 S 2.51, 2 Cl 2.64
Ag 0.2787 0.1835 0.4793 (multiplicity 8)  3 S 2.55-2.71, 1 Cl 2.65
Sn 0.5000 0.0000 0.0344 (multiplicity 2)  4 S 2.42-2.46
S 0.2464 0.0000 0.2616 (multiplicity 4)  1 Sn 2.42, 3 Ag 2.51-2.55
S 0.5000 0.1751 0.8130 (multiplicity 4)  1 Sn 2.46, 4 Ag 2.59-2.71
Cl 0.0000 0.1725 0.7261 (multiplicity 4)  3 Ag 2.64-2.65



No. 9
SrAgSCl | PBE-GGA | relaxed

Results
DOS at the Fermi energy = 0.0 states/eV per cell
total moment = 0.00 μB/atom

Cell: 4.3605 4.3605 38.8151 Å, 90.00 90.00 120.00°
Closest atoms and distances in Å follow each position.
Space group R-3m (No. 166, hexagonal axes)
Asymmetric unit:
Sr 0.0000 0.0000 0.0900 (multiplicity 6)  3 Cl 2.90, 3 S 3.03
Ag 0.0000 0.0000 0.3107 (multiplicity 6)  4 S 2.69-2.70
S 0.0000 0.0000 0.3801 (multiplicity 6)  4 Ag 2.69-2.70
Cl 0.0000 0.0000 0.2062 (multiplicity 6)  3 Sr 2.90



No. 10
TaAgS2Cl | PBE-GGA | relaxed

Results
DOS at the Fermi energy = 5.2 states/eV per cell
total moment = 0.45 μB/atom

Cell: 4.8477 4.8477 4.6490 Å, 90.00 90.00 90.00°
Closest atoms and distances in Å follow each position.
Space group P4/mmm (No. 123)
Asymmetric unit:
Ta 0.0000 0.0000 0.0000 (multiplicity 1)  8 S 3.36, 4 Cl 3.43
Ag 0.5000 0.5000 0.5000 (multiplicity 1)  2 Cl 2.32, 4 S 2.42
S 0.0000 0.5000 0.5000 (multiplicity 2)  2 Ag 2.42
Cl 0.5000 0.5000 0.0000 (multiplicity 1)  2 Ag 2.32



No. 11
TaAgSCl2 | PBE-GGA | relaxed

Results
DOS at the Fermi energy = 2.9 states/eV per cell
total moment = 0.04 μB/atom

Cell: 4.8593 4.8593 4.8098 Å, 90.00 90.00 90.00°
Closest atoms and distances in Å follow each position.
Space group P4/mmm (No. 123)
Asymmetric unit:
Ta 0.0000 0.0000 0.0000 (multiplicity 1)  2 S 2.40, 4 Cl 2.43
Ag 0.5000 0.5000 0.5000 (multiplicity 1)  8 Cl 3.42, 4 S 3.44
S 0.0000 0.0000 0.5000 (multiplicity 1)  2 Ta 2.40
Cl 0.0000 0.5000 0.0000 (multiplicity 2)  2 Ta 2.43



No. 12
TaAgS2Cl | PBE-GGA | relaxed

Results
DOS at the Fermi energy = 2.5 states/eV per cell
total moment = 0.00 μB/atom

Cell: 4.8125 4.8125 4.8425 Å, 90.00 90.00 90.00°
Closest atoms and distances in Å follow each position.
Space group P4/mmm (No. 123)
Asymmetric unit:
Ta 0.0000 0.0000 0.0000 (multiplicity 1)  4 S 2.41, 2 Cl 2.42
Ag 0.5000 0.5000 0.5000 (multiplicity 1)  4 Cl 3.40, 8 S 3.41
S 0.0000 0.5000 0.0000 (multiplicity 2)  2 Ta 2.41
Cl 0.0000 0.0000 0.5000 (multiplicity 1)  2 Ta 2.42



No. 13
TaAgSCl2 | PBE-GGA | relaxed

Results
DOS at the Fermi energy = 5.4 states/eV per cell
total moment = 0.57 μB/atom

Cell: 4.8380 4.8380 4.9730 Å, 90.00 90.00 90.00°
Closest atoms and distances in Å follow each position.
Space group P4/mmm (No. 123)
Asymmetric unit:
Ta 0.0000 0.0000 0.0000 (multiplicity 1)  4 S 3.42, 8 Cl 3.47
Ag 0.5000 0.5000 0.5000 (multiplicity 1)  4 Cl 2.42, 2 S 2.49
S 0.5000 0.5000 0.0000 (multiplicity 1)  2 Ag 2.49
Cl 0.0000 0.5000 0.5000 (multiplicity 2)  2 Ag 2.42



No. 14
TcAgSCl2 | PBE-GGA | relaxed

Results
DOS at the Fermi energy = 2.2 states/eV per cell
total moment = 0.13 μB/atom

Cell: 4.9984 4.9984 4.4470 Å, 90.00 90.00 90.00°
Closest atoms and distances in Å follow each position.
Space group P4/mmm (No. 123)
Asymmetric unit:
Tc 0.0000 0.0000 0.0000 (multiplicity 1)  2 S 2.22
Ag 0.5000 0.5000 0.5000 (multiplicity 1)  8 Cl 3.35, 4 S 3.53
S 0.0000 0.0000 0.5000 (multiplicity 1)  2 Tc 2.22
Cl 0.0000 0.5000 0.0000 (multiplicity 2)  2 Tc 2.50



no.,raw formation energy (eV per atom)
1,0.44
2,-0.02
3,0.48
4,-0.12
5,0.24
6,0.69
7,0.09
8,-0.23
9,-1.46
10,1.00
11,-0.30
12,-0.32
13,0.88
14,0.02